(1)
Density functional theory data (PBE-GGA) for a relaxed structure of SrCdH8Pt2.

Geometry as POSCAR:
```
SrCdH8Pt2
1.0
2.5314 1.4615 5.9776
-2.5314 1.4615 5.9776
0.0000 -2.9230 5.9776
Sr Cd H Pt
1 1 8 2
Cartesian
0.0000 0.0000 0.0000
0.0000 0.0000 8.9664
-0.8567 -1.5276 7.8040
-1.7513 -0.0219 10.1288
0.0000 0.0000 5.6990
-0.8946 1.5057 7.8040
0.8946 -1.5057 10.1288
0.0000 0.0000 12.2338
1.7513 0.0219 7.8040
0.8567 1.5276 10.1288
0.0000 0.0000 4.1108
0.0000 0.0000 13.8220
```

Crystal system: trigonal

=====

(2)
Density functional theory data (PBE-GGA) for a relaxed structure of SrLi.

Geometry as POSCAR:
```
SrLi
1.0
4.0699 0.0000 0.0000
-2.0349 3.5246 0.0000
0.0000 0.0000 17.0164
Sr Li
3 3
Cartesian
0.0000 0.0000 0.0000
0.0000 2.3498 11.3443
2.0349 1.1749 5.6721
0.0000 0.0000 8.5082
0.0000 2.3498 2.8361
2.0349 1.1749 14.1803
```

ΔE_f: 0.164 eV/atom
Crystal system: trigonal

=====

(3)
Density functional theory data (PBE-GGA) for a relaxed structure of Re2RhPbCl.

Geometry as POSCAR:
```
Re2RhPbCl
1.0
4.8401 0.0000 0.0000
0.0000 4.8401 0.0000
0.0000 0.0000 4.8304
Re Rh Pb Cl
2 1 1 1
Cartesian
0.0000 2.4201 0.0000
2.4201 0.0000 0.0000
0.0000 0.0000 0.0000
2.4201 2.4201 2.4152
0.0000 0.0000 2.4152
```

Formation energy (no corrections): 1.668 eV per atom
Crystal system: tetragonal

=====

(4)
Density functional theory data (PBE-GGA) for a relaxed structure of CaLaAl.

Geometry as POSCAR:
```
CaLaAl
1.0
18.2301 0.0000 0.0000
0.0000 3.6137 0.0000
-0.6229 0.0000 5.6688
Ca La Al
4 4 4
Cartesian
3.6448 0.0000 1.3138
4.8474 1.8069 4.3551
12.7598 1.8069 1.3138
13.9624 0.0000 4.3551
0.9841 0.0000 3.8959
7.5080 1.8069 1.7729
10.0992 1.8069 3.8959
16.6231 0.0000 1.7729
0.9828 1.8069 0.9584
7.5093 0.0000 4.7104
10.0979 0.0000 0.9584
16.6244 1.8069 4.7104
```

ΔE_f: -0.200 eV/atom
Crystal system: monoclinic

=====

(5)
Density functional theory data (PBE-GGA) for a relaxed structure of ZnCoN2.

Geometry as POSCAR:
```
ZnCoN2
1.0
3.0103 0.0000 0.0000
-1.5052 2.6070 0.0000
0.0000 0.0000 17.2860
Zn Co N
3 3 6
Cartesian
0.0000 0.0000 0.0000
0.0000 1.7380 11.5240
1.5052 0.8690 5.7620
0.0000 0.0000 8.6430
0.0000 1.7380 2.8810
1.5052 0.8690 14.4050
0.0000 0.0000 6.9241
0.0000 0.0000 10.3619
0.0000 1.7380 1.1621
0.0000 1.7380 4.5999
1.5052 0.8690 12.6861
1.5052 0.8690 16.1238
```

Formation energy (no corrections): 0.941 eV per atom
Crystal system: trigonal

=====

(6)
Density functional theory data (PBE-GGA) for a relaxed structure of Tb3Pr5Y3.

Geometry as POSCAR:
```
Tb3Pr5Y3
1.0
9.8161 0.0000 0.0000
-4.9081 8.5010 0.0000
0.0000 0.0000 5.5880
Tb Pr Y
3 5 3
Cartesian
-1.7816 3.0857 0.0000
3.5631 0.0000 0.0000
3.1265 5.4153 0.0000
-3.5956 6.2278 0.0000
1.3124 2.2732 0.0000
0.0000 5.6673 0.0000
4.9081 2.8337 0.0000
7.1913 0.0000 0.0000
-2.6590 4.6056 2.7940
2.2490 3.8954 2.7940
5.3181 0.0000 2.7940
```

ΔE_f: 0.768 eV/atom
Crystal system: hexagonal

=====

(7)
Density functional theory data (PBE-GGA) for a relaxed structure of TiHRu2.

Geometry as POSCAR:
```
TiHRu2
1.0
6.4793 0.0000 0.0000
0.0000 6.4793 0.0000
0.0000 0.0000 4.4978
Ti H Ru
4 4 8
Cartesian
0.0000 0.0000 0.0000
0.0000 3.2397 1.1245
3.2397 0.0000 3.3734
3.2397 3.2397 2.2489
0.0000 0.0000 2.2489
0.0000 3.2397 3.3734
3.2397 0.0000 1.1245
3.2397 3.2397 0.0000
0.9018 4.8595 2.8111
1.6198 0.9018 1.6867
1.6198 2.3379 3.9356
2.3379 4.8595 0.5622
4.1414 1.6198 0.5622
4.8595 4.1414 3.9356
4.8595 5.5775 1.6867
5.5775 1.6198 2.8111
```

Crystal system: tetragonal

=====

(8)
Density functional theory data (PBE-GGA) for a relaxed structure of Mn2SiPt.

Geometry as POSCAR:
```
Mn2SiPt
1.0
5.1374 0.0000 0.0000
0.0000 7.5610 0.0000
0.0000 0.0000 2.7531
Mn Si Pt
4 2 2
Cartesian
1.2843 1.8903 0.0000
1.2843 5.6708 0.0000
3.8530 1.8903 0.0000
3.8530 5.6708 0.0000
0.0000 0.0000 1.3766
2.5687 3.7805 1.3766
0.0000 3.7805 1.3766
2.5687 0.0000 1.3766
```

Formation energy (no corrections): -0.273 eV per atom
Crystal system: orthorhombic

=====

(9)
Density functional theory data (PBE-GGA) for a relaxed structure of La2MgPd3Au12.

Geometry as POSCAR:
```
La2MgPd3Au12
1.0
4.3034 2.4846 6.7677
-4.3034 2.4846 6.7677
0.0000 -4.9692 6.7677
La Mg Pd Au
2 1 3 12
Cartesian
0.0000 0.0000 2.3610
0.0000 0.0000 17.9421
0.0000 0.0000 10.1516
-2.1517 -1.2423 6.7677
-2.1517 1.2423 13.5354
0.0000 2.4846 6.7677
0.0000 -2.4635 5.8596
-2.1334 1.2317 5.8596
-2.2001 -1.2702 9.4198
0.0000 -2.5405 10.8833
-2.2001 1.2702 10.8833
-2.1334 -1.2317 14.4436
2.1334 1.2317 5.8595
2.2001 -1.2702 9.4198
0.0000 2.5405 9.4198
2.2001 1.2702 10.8833
2.1334 -1.2317 14.4436
0.0000 2.4635 14.4436
```

ΔE_f: -0.065 eV/atom
Crystal system: trigonal

=====

(10)
Density functional theory data (PBE-GGA) for a relaxed structure of LiHg5.

Geometry as POSCAR:
```
LiHg5
1.0
4.3674 0.0000 0.0000
0.0000 13.5872 0.0000
0.0000 0.0000 4.8767
Li Hg
2 10
Cartesian
0.0000 0.0000 0.0000
2.1837 6.7936 0.0000
0.0000 2.2090 2.4384
0.0000 4.6347 0.0000
0.0000 6.7936 2.4384
0.0000 8.9525 0.0000
0.0000 11.3781 2.4384
2.1837 0.0000 2.4384
2.1837 2.1589 0.0000
2.1837 4.5845 2.4384
2.1837 9.0026 2.4384
2.1837 11.4283 0.0000
```

ΔE_f: -0.102 eV/atom
Crystal system: orthorhombic

=====

(11)
Density functional theory data (PBE-GGA) for a relaxed structure of Ce2SmSi.

Geometry as POSCAR:
```
Ce2SmSi
1.0
4.4946 0.0000 0.0000
0.0000 4.4946 0.0000
0.0000 0.0000 4.8711
Ce Sm Si
2 1 1
Cartesian
0.0000 2.2473 0.0000
2.2473 0.0000 0.0000
0.0000 0.0000 2.4356
2.2473 2.2473 2.4356
```

Formation energy (no corrections): -0.290 eV per atom
Crystal system: tetragonal

=====

(12)
Density functional theory data (PBE-GGA) for a relaxed structure of Pm3Ge3Rh.

Geometry as POSCAR:
```
Pm3Ge3Rh
1.0
8.6238 0.0000 0.0000
-4.3119 7.4685 0.0000
0.0000 0.0000 5.8801
Pm Ge Rh
6 6 2
Cartesian
-0.9467 2.9621 1.4700
-1.2733 6.8073 1.4700
2.0919 2.3009 4.4101
2.2200 5.1675 1.4700
5.5852 0.6612 4.4101
5.2586 4.5063 4.4101
-0.8498 2.7226 4.4101
-1.5292 6.8431 4.4101
1.9329 2.0972 1.4700
2.3790 5.3712 4.4101
5.8411 0.6254 1.4700
5.1617 4.7459 1.4700
0.0000 4.9790 4.4101
4.3119 2.4895 1.4700
```

ΔE_f: -0.533 eV/atom
Crystal system: hexagonal

=====

(13)
Density functional theory data (PBE-GGA) for a relaxed structure of RbCd3P4O12.

Geometry as POSCAR:
```
RbCd3P4O12
1.0
5.7272 3.3066 3.0415
-5.7272 3.3066 3.0415
0.0000 -6.6132 3.0415
Rb Cd P O
1 3 4 12
Cartesian
0.0000 0.0000 0.0000
-3.2082 -1.0565 3.0415
2.5190 -2.2501 3.0415
0.6892 3.3066 3.0415
-2.4984 -4.3274 4.5622
0.0000 0.0000 4.5622
-2.4984 4.3274 4.5622
4.9968 0.0000 4.5622
-3.2573 -3.0259 4.4864
-4.9348 0.0000 4.5622
-0.9918 -4.3339 4.6380
-1.5290 0.0000 4.5622
-3.2573 3.0259 4.6380
2.4674 -4.2737 4.5622
0.7645 -1.3241 4.5622
-0.9918 4.3339 4.4864
0.7645 1.3241 4.5622
4.2492 -1.3080 4.4864
2.4674 4.2737 4.5622
4.2492 1.3080 4.6380
```

Formation energy (no corrections): -1.550 eV per atom
Crystal system: trigonal

=====

(14)
Density functional theory data (PBE-GGA) for a relaxed structure of TbHo2.

Geometry as POSCAR:
```
TbHo2
1.0
12.8401 0.0000 0.0000
0.0000 3.6067 0.0000
-1.8723 0.0000 8.1816
Tb Ho
4 8
Cartesian
2.2257 0.0000 1.1364
2.3220 1.8034 7.0452
8.6458 1.8034 1.1364
8.7420 0.0000 7.0452
-1.1450 1.8034 6.5789
0.7954 0.0000 4.3130
3.7523 1.8034 3.8686
5.6927 0.0000 1.6026
5.2750 0.0000 6.5789
7.2154 1.8034 4.3130
10.1724 0.0000 3.8686
12.1127 1.8034 1.6026
```

ΔE_f: 0.007 eV/atom
Crystal system: monoclinic

=====

(15)
Density functional theory data (PBE-GGA) for a relaxed structure of KGaOsC2.

Geometry as POSCAR:
```
KGaOsC2
1.0
4.0834 0.0000 0.0000
0.0000 4.0834 0.0000
0.0000 0.0000 4.9359
K Ga Os C
1 1 1 2
Cartesian
0.0000 0.0000 0.0000
2.0417 2.0417 0.0000
2.0417 2.0417 2.4679
0.0000 2.0417 2.4679
2.0417 0.0000 2.4679
```

ΔE_f: 1.090 eV/atom
Crystal system: tetragonal

=====

(16)
Density functional theory data (PBE-GGA) for a relaxed structure of PaMnGeH2.

Geometry as POSCAR:
```
PaMnGeH2
1.0
1.9940 -5.1926 0.0000
1.9940 5.1926 0.0000
0.0000 0.0000 5.6378
Pa Mn Ge H
2 2 2 4
Cartesian
1.9940 3.0240 4.2283
1.9940 -3.0240 1.4094
1.9940 0.0000 0.0000
1.9940 0.0000 2.8189
1.9940 4.3903 1.4094
1.9940 -4.3903 4.2283
1.9940 1.6643 0.3854
1.9940 1.6643 2.4335
1.9940 -1.6643 3.2043
1.9940 -1.6643 5.2524
```

Crystal system: orthorhombic

=====

(17)
Density functional theory data (PBE-GGA) for a relaxed structure of NiOs2.

Geometry as POSCAR:
```
NiOs2
1.0
0.0000 3.5880 3.5880
3.5880 0.0000 3.5880
3.5880 3.5880 0.0000
Ni Os
2 4
Cartesian
0.8970 0.8970 0.8970
6.2790 6.2790 6.2790
3.5880 1.7940 1.7940
1.7940 3.5880 1.7940
1.7940 1.7940 3.5880
3.5880 3.5880 3.5880
```

ΔE_f: 0.954 eV/atom
Crystal system: cubic

=====

(18)
Density functional theory data (PBE-GGA) for a relaxed structure of SmEr4Pd2.

Geometry as POSCAR:
```
SmEr4Pd2
1.0
7.7894 0.0000 0.0000
0.0000 6.3884 0.0000
-3.0867 0.0000 7.4548
Sm Er Pd
2 8 4
Cartesian
1.1092 1.5971 0.1572
3.5935 4.7913 7.2976
-1.0429 1.5971 2.9315
0.8583 4.7913 2.6074
0.7896 0.0237 5.7192
0.7896 3.1705 5.7192
3.9131 3.2179 1.7357
3.9131 6.3646 1.7357
3.8445 1.5971 4.8474
5.7456 4.7913 4.5233
-1.0917 4.7913 7.4131
1.6853 1.5971 3.1321
3.0174 4.7913 4.3227
5.7944 1.5971 0.0417
```

ΔE_f: -0.444 eV/atom
Crystal system: monoclinic

=====

(19)
Density functional theory data (PBE-GGA) for a relaxed structure of Ce2Pr3HoS6.

Geometry as POSCAR:
```
Ce2Pr3HoS6
1.0
3.4960 -6.0618 0.0000
3.4960 6.0618 0.0000
-2.3431 0.0000 6.6132
Ce Pr Ho S
2 3 1 6
Cartesian
3.4960 4.0477 0.0000
3.4960 -4.0477 0.0000
-1.1716 0.0000 3.3066
2.3244 2.0337 3.3066
2.3244 -2.0337 3.3066
3.4960 0.0000 0.0000
0.0153 1.9817 5.0385
1.2110 0.0000 1.5869
0.0153 -1.9817 5.0385
4.6336 1.9817 1.5747
3.4378 0.0000 5.0263
4.6336 -1.9817 1.5747
```

Formation energy (no corrections): -2.025 eV per atom
Crystal system: monoclinic

=====

(20)
Density functional theory data (PBE-GGA) for a relaxed structure of NaCd6Hg12.

Geometry as POSCAR:
```
NaCd6Hg12
1.0
6.7323 3.8869 3.2402
-6.7323 3.8869 3.2402
0.0000 -7.7738 3.2402
Na Cd Hg
1 6 12
Cartesian
0.0000 0.0000 0.0000
-2.6666 -1.5395 5.4269
0.0000 -3.0791 4.2936
-2.6666 1.5395 4.2936
2.6666 -1.5395 5.4269
0.0000 3.0791 5.4269
2.6666 1.5395 4.2936
-1.6224 -0.9367 2.6017
-2.6138 -4.5273 4.8602
-5.2277 0.0000 4.8602
1.6224 -0.9367 2.6017
0.0000 1.8734 2.6017
2.6138 -4.5273 4.8602
-2.6138 4.5273 4.8602
0.0000 -1.8734 7.1187
-1.6224 0.9367 7.1187
5.2277 0.0000 4.8602
2.6139 4.5273 4.8602
1.6224 0.9367 7.1187
```

ΔE_f: -0.001 eV/atom
Crystal system: trigonal

=====

(21)
Density functional theory data (PBE-GGA) for a relaxed structure of Pm2CuF.

Geometry as POSCAR:
```
Pm2CuF
1.0
4.3258 0.0000 0.0000
-2.1629 3.7463 0.0000
0.0000 0.0000 22.2803
Pm Cu F
6 3 3
Cartesian
0.0000 0.0000 2.2733
0.0000 0.0000 20.0071
0.0000 2.4975 12.5803
0.0000 2.4975 17.1268
2.1629 1.2488 5.1535
2.1629 1.2488 9.7000
0.0000 0.0000 11.1402
0.0000 2.4975 3.7134
2.1629 1.2488 18.5669
0.0000 0.0000 0.0000
0.0000 2.4975 14.8536
2.1629 1.2488 7.4268
```

Formation energy (no corrections): -1.187 eV per atom
Crystal system: trigonal

=====

(22)
Density functional theory data (PBE-GGA) for a relaxed structure of Sr2YMo.

Geometry as POSCAR:
```
Sr2YMo
1.0
3.6100 0.0000 0.0000
-1.8050 3.1264 0.0000
0.0000 0.0000 34.9596
Sr Y Mo
6 3 3
Cartesian
0.0000 0.0000 8.2455
0.0000 0.0000 26.7141
0.0000 2.0843 15.0609
0.0000 2.0843 31.5519
1.8050 1.0421 3.4077
1.8050 1.0421 19.8987
0.0000 0.0000 0.0000
0.0000 2.0843 23.3064
1.8050 1.0421 11.6532
0.0000 0.0000 17.4798
0.0000 2.0843 5.8266
1.8050 1.0421 29.1330
```

ΔE_f: 0.920 eV/atom
Crystal system: trigonal

=====

(23)
Density functional theory data (PBE-GGA) for a relaxed structure of Tb2Sm2Te5.

Geometry as POSCAR:
```
Tb2Sm2Te5
1.0
7.9623 -4.1139 0.0000
7.9623 4.1139 0.0000
0.0000 0.0000 8.2459
Tb Sm Te
4 4 10
Cartesian
7.9623 2.9167 7.0106
7.9623 1.1972 2.8876
7.9623 -1.1972 5.3582
7.9623 -2.9167 1.2353
3.1341 0.0000 4.1229
4.8281 0.0000 0.0000
11.0964 0.0000 0.0000
12.7904 0.0000 4.1229
0.0000 0.0000 4.1229
5.7543 2.8041 1.2848
5.7543 1.3098 5.4078
10.1702 2.8041 1.2848
10.1702 1.3098 5.4078
7.9623 0.0000 0.0000
5.7543 -1.3098 2.8381
5.7543 -2.8041 6.9610
10.1702 -1.3098 2.8381
10.1702 -2.8041 6.9610
```

Formation energy (no corrections): -1.322 eV per atom
Crystal system: orthorhombic

=====

For the records above, the corresponding E values read -3.510 -1.634 -5.893 -3.757 -5.317 -4.430 -7.582 -7.723 -3.751 -0.673 -5.793 -5.598 -5.792 -4.589 -5.670 -6.392 -8.460 -5.210 -6.654 -0.550 -5.054 -4.244 -5.145 eV/atom.